! ZnNiBr4 | Alexandria | PBE-GGA | optimized geometry; values from VASP
&SYSTEM
  ibrav = 0, nat = 6, ntyp = 3
/
ATOMIC_SPECIES
Zn 65.41 Zn.upf
Ni 58.69 Ni.upf
Br 79.90 Br.upf
CELL_PARAMETERS angstrom
0.0000 4.4182 4.4182
4.4182 0.0000 4.4182
4.4182 4.4182 0.0000
ATOMIC_POSITIONS crystal
Zn 0.0000 0.0000 0.0000
Ni 0.2500 0.2500 0.2500
Br 0.1250 0.6250 0.6250
Br 0.6250 0.1250 0.6250
Br 0.6250 0.6250 0.1250
Br 0.6250 0.6250 0.6250
! - formation energy without anion corrections (meV/atom) = 986